Run w
Compound: YSbSeI2
Source: Alexandria via LeMat-Bulk
Functional: PBE
Structure: relaxed

a b c (Å): 5.6255 5.6255 5.5233
angles (deg): 90.00 90.00 90.00
Last column: nearest neighbours and their distance in Å.
Atoms (fractional coordinates):
Y 0.5000 0.5000 0.5000  8 I 3.94, 4 Sb 3.98
I 0.0000 0.5000 0.0000  2 Se 2.81
Sb 0.0000 0.0000 0.5000  2 Se 2.76
Se 0.0000 0.0000 0.0000  2 Sb 2.76, 4 I 2.81
I 0.5000 0.0000 0.0000  2 Se 2.81

- Fermi-level density of states (states/eV per cell) = 4.08

Run x
Compound: YSbSeI2
Source: Alexandria via LeMat-Bulk
Functional: PBE
Structure: relaxed

a b c (Å): 5.7835 5.7835 6.3709
angles (deg): 90.00 90.00 90.00
Last column: nearest neighbours and their distance in Å.
Atoms (fractional coordinates):
I 0.5000 0.0000 0.0000  2 Y 2.89
Sb 0.0000 0.0000 0.5000  2 Y 3.19
Se 0.5000 0.5000 0.5000  4 Sb 4.09, 8 I 4.30
I 0.0000 0.5000 0.0000  2 Y 2.89
Y 0.0000 0.0000 0.0000  4 I 2.89, 2 Sb 3.19

- Fermi-level density of states (states/eV per cell) = 4.44

Pick the most stable structure from those above. Pick: run x